Compound: NdNb5Se2
Source: OQMD
Functional: PBE
Structure: relaxed

```
NdNb5Se2
1.0
6.199 0.000 0.000
0.000 6.199 0.000
0.000 0.000 4.933
Nb Se Nd
5 2 1
Cartesian
4.361 1.837 0.000 Nb
4.361 4.361 0.000 Nb
0.000 0.000 2.467 Nb
1.837 4.361 0.000 Nb
1.837 1.837 0.000 Nb
0.000 3.099 2.467 Se
3.099 0.000 2.467 Se
0.000 0.000 0.000 Nd
```

Results
M_tot ... 0.010 μB per atom
V ... 189.5 Å³ per cell
Raw total energy ... -6.369 eV per atom